## BeCdSi3 (PBE-GGA)

Data for BeCdSi3 after structural relaxation.

Unit cell a=4.419 b=4.419 c=4.419 alpha=90.00 beta=90.00 gamma=90.00
Fractional positions:
Be1 0.000 0.000 0.000
Si1 0.000 0.500 0.000
Si2 0.000 0.000 0.500
Si3 0.500 0.000 0.000
Cd1 0.500 0.500 0.500

Summary:
**N(E_F)**: 1.49 states/eV/f.u.
**Total DFT energy (no corrections)**: -3.50 eV/atom
**Energy relative to the lowest polymorph listed for this composition**: 0.000 eV per atom
**ΔE_f (raw)**: 0.68 eV per atom
**Magnetic moment**: 0.000 μB per cell
**SG**: No. 221


## BeCdSi (PBE-GGA)

Data for BeCdSi after structural relaxation.

Unit cell a=6.295 b=6.295 c=6.295 alpha=154.22 beta=154.22 gamma=36.78
Fractional positions:
Be1 0.012 0.012 0.000
Si1 0.637 0.637 0.000
Cd1 0.351 0.351 0.000

Summary:
**N(E_F)**: 0.96 states/eV/f.u.
**Total DFT energy (no corrections)**: -2.88 eV/atom
**ΔE_f (raw)**: 0.48 eV per atom
**Magnetic moment**: 0.000 μB per cell
**SG**: No. 107


Please write out number 2 again, unchanged.
## BeCdSi (PBE-GGA)

Data for BeCdSi after structural relaxation.

Unit cell a=6.295 b=6.295 c=6.295 alpha=154.22 beta=154.22 gamma=36.78
Fractional positions:
Be1 0.012 0.012 0.000
Si1 0.637 0.637 0.000
Cd1 0.351 0.351 0.000

Summary:
**N(E_F)**: 0.96 states/eV/f.u.
**Total DFT energy (no corrections)**: -2.88 eV/atom
**ΔE_f (raw)**: 0.48 eV per atom
**Magnetic moment**: 0.000 μB per cell
**SG**: No. 107


- What is the ΔE_f (raw) in the first record?
  0.68 eV per atom


- What is the formula in the first record?
  BeCdSi3